Material: NbTlCoPt
Method: DFT, PBE-GGA
State: optimized geometry

a = 6.455 Å, b = 6.455 Å, c = 6.455 Å
α = 90.00°, β = 90.00°, γ = 90.00°
Space group F-43m (No. 216)
One atom of each set of equivalent atoms:
Nb (0.000, 0.000, 0.000) [4 per cell]
Tl (0.000, 0.000, 0.500) [4 per cell]
Co (0.250, 0.250, 0.750) [4 per cell]
Pt (0.250, 0.250, 0.250) [4 per cell]

Output
excess energy over the best structure of this formula in the dataset	0.00	eV/f.u.
VASP energy	-6.30	eV per atom